Here is a geometry-optimized Be2NiOs structure from Alexandria via LeMat-Bulk. Energies are from PBE.

Unit cell a=5.0787 b=7.2685 c=2.5063 alpha=90.00 beta=111.80 gamma=90.00
With the nearest neighbours (Å) after each atom.
Space group C2/m (No. 12)
Unique sites:
Be (0.2500, 0.2500, 0.0000) (multiplicity 4)  2 Ni 2.30, 2 Os 2.30, 4 Be 2.51-2.54
Ni (0.0000, 0.0000, 0.5000) (multiplicity 2)  4 Be 2.30, 2 Ni 2.51, 2 Os 2.54
Os (0.0000, 0.5000, 0.5000) (multiplicity 2)  4 Be 2.30, 2 Os 2.51, 2 Ni 2.54

- DFT formation energy (kJ/mol of formula units) = -32
- total magnetic moment (μB per cell) = 0.00

---

Here is a geometry-optimized BeNiOs structure from Alexandria via LeMat-Bulk. Energies are from PBE.

Unit cell a=2.6959 b=2.6959 c=9.0241 alpha=90.00 beta=90.00 gamma=90.00
With the nearest neighbours (Å) after each atom.
Space group I4mm (No. 107)
Unique sites:
Be (0.0000, 0.0000, 0.0000) (multiplicity 2)  4 Ni 2.28, 4 Os 2.42
Ni (0.0000, 0.0000, 0.6379) (multiplicity 2)  4 Be 2.28
Os (0.0000, 0.0000, 0.3339) (multiplicity 2)  4 Be 2.42, 4 Ni 2.60, 4 Os 2.70

- energy above the lowest structure with this stoichiometry (meV per atom) = 0.0
- DFT formation energy (kJ/mol of formula units) = -16
- total magnetic moment (μB per cell) = 0.00

---

Here is a geometry-optimized Be14NiOs structure from Alexandria via LeMat-Bulk. Energies are from PBE.

Unit cell a=6.3212 b=7.2168 c=7.2172 alpha=100.62 beta=107.94 gamma=107.82
With the nearest neighbours (Å) after each atom.
Space group P-1 (No. 2)
Unique sites:
Be (0.0445, 0.0611, 0.3693) (multiplicity 2)  6 Be 2.12-2.37
Be (0.0602, 0.4099, 0.3850) (multiplicity 2)  6 Be 2.05-2.25
Be (0.0701, 0.3316, 0.0898) (multiplicity 2)  6 Be 2.01-2.13, 1 Ni 2.22
Be (0.0715, 0.7457, 0.4117) (multiplicity 2)  7 Be 2.10-2.35
Be (0.1954, 0.2135, 0.8703) (multiplicity 2)  8 Be 2.11-2.34, 1 Ni 2.20
Be (0.1997, 0.8593, 0.8501) (multiplicity 2)  6 Be 2.04-2.20, 1 Ni 2.24
Be (0.2088, 0.8607, 0.1832) (multiplicity 2)  5 Be 2.07-2.26, 1 Ni 2.17
Be (0.2929, 0.3177, 0.6408) (multiplicity 2)  7 Be 2.08-2.32, 1 Ni 2.18
Be (0.2990, 0.6512, 0.6399) (multiplicity 2)  6 Be 2.05-2.19, 1 Ni 2.25
Be (0.3056, 0.6300, 0.2857) (multiplicity 2)  8 Be 2.11-2.36, 1 Ni 2.20
Be (0.4243, 0.0831, 0.7492) (multiplicity 2)  7 Be 2.11-2.36
Be (0.4274, 0.4061, 0.1705) (multiplicity 2)  6 Be 2.01-2.13, 1 Ni 2.21
Be (0.4410, 0.1138, 0.0893) (multiplicity 2)  6 Be 2.04-2.24
Be (0.4538, 0.1334, 0.4374) (multiplicity 2)  5 Be 2.12-2.35
Ni (0.0000, 0.0000, 0.0000) (multiplicity 1)  8 Be 2.17-2.24
Ni (0.5000, 0.5000, 0.5000) (multiplicity 1)  8 Be 2.18-2.25
Os (0.2522, 0.5700, 0.9320) (multiplicity 2)  10 Be 2.33-2.58

- DFT formation energy (kJ/mol of formula units) = 42
- total magnetic moment (μB per cell) = 0.00

---

Here is a geometry-optimized Be2NiOs structure from Alexandria via LeMat-Bulk. Energies are from PBE.

Unit cell a=2.5913 b=2.5913 c=23.2682 alpha=90.00 beta=90.00 gamma=120.00
With the nearest neighbours (Å) after each atom.
Space group R3m (No. 160, hexagonal axes)
Unique sites:
Be (0.0000, 0.0000, 0.0000) (multiplicity 3)  3 Ni 2.30, 3 Be 2.42
Be (0.0000, 0.0000, 0.2513) (multiplicity 3)  9 Be 2.42-2.59, 3 Os 2.47
Ni (0.0000, 0.0000, 0.7417) (multiplicity 3)  3 Be 2.30
Os (0.0000, 0.0000, 0.5002) (multiplicity 3)  3 Be 2.47, 6 Os 2.59, 3 Ni 2.61

- DFT formation energy (kJ/mol of formula units) = 47
- total magnetic moment (μB per cell) = 0.00

---

Here is a geometry-optimized BeNiOs4 structure from Alexandria via LeMat-Bulk. Energies are from PBE.

Unit cell a=7.1705 b=7.1705 c=7.1705 alpha=90.00 beta=90.00 gamma=90.00
With the nearest neighbours (Å) after each atom.
Space group F-43m (No. 216)
Unique sites:
Be (0.0000, 0.0000, 0.0000) (multiplicity 4)  12 Os 2.97, 4 Ni 3.10
Ni (0.2500, 0.2500, 0.7500) (multiplicity 4)  12 Os 2.97, 4 Be 3.10
Os (0.1249, 0.1249, 0.3751) (multiplicity 16)  6 Os 2.53-2.54

- DFT formation energy (kJ/mol of formula units) = 559
- total magnetic moment (μB per cell) = 0.00

---

Here is a geometry-optimized BeNiOs3 structure from Alexandria via LeMat-Bulk. Energies are from PBE.

Unit cell a=4.0562 b=4.0562 c=4.0562 alpha=90.00 beta=90.00 gamma=90.00
With the nearest neighbours (Å) after each atom.
Space group Pm-3m (No. 221)
Unique sites:
Be (0.0000, 0.0000, 0.0000) (multiplicity 1)  6 Os 2.03
Ni (0.5000, 0.5000, 0.5000) (multiplicity 1)  12 Os 2.87
Os (0.0000, 0.0000, 0.5000) (multiplicity 3)  2 Be 2.03

- energy above the lowest structure with this stoichiometry (meV per atom) = 0.0
- DFT formation energy (kJ/mol of formula units) = 439
- total magnetic moment (μB per cell) = 0.00

---

Here is a geometry-optimized Be2NiOs structure from Alexandria via LeMat-Bulk. Energies are from PBE.

Unit cell a=8.5806 b=2.5450 c=4.0957 alpha=90.00 beta=110.39 gamma=90.00
With the nearest neighbours (Å) after each atom.
Space group Cm (No. 8)
Unique sites:
Be (0.0000, 0.0000, 0.0000) (multiplicity 2)  3 Ni 2.36-2.38, 4 Os 2.41-2.42, 4 Be 2.42-2.55
Be (0.2356, 0.5000, 0.3687) (multiplicity 2)  3 Os 2.33-2.43, 4 Ni 2.38-2.45, 4 Be 2.42-2.55
Ni (0.2518, 0.0000, 0.8896) (multiplicity 2)  7 Be 2.36-2.45, 2 Ni 2.55, 3 Os 2.60
Os (0.4906, 0.0000, 0.4914) (multiplicity 2)  7 Be 2.33-2.43, 2 Os 2.55, 3 Ni 2.60

- DFT formation energy (kJ/mol of formula units) = -65
- total magnetic moment (μB per cell) = 0.00

---

Here is a geometry-optimized Be2Ni2Os structure from Alexandria via LeMat-Bulk. Energies are from PBE.

Unit cell a=6.5086 b=6.5086 c=2.4726 alpha=90.00 beta=90.00 gamma=90.00
With the nearest neighbours (Å) after each atom.
Space group P4/mbm (No. 127)
Unique sites:
Be (0.1701, 0.3299, 0.0000) (multiplicity 4)  6 Ni 2.24-2.31, 2 Be 2.47
Ni (0.1272, 0.6272, 0.5000) (multiplicity 4)  6 Be 2.24-2.31, 3 Ni 2.34-2.47
Os (0.0000, 0.0000, 0.5000) (multiplicity 2)  2 Os 2.47, 4 Ni 2.56, 8 Be 2.71

- energy above the lowest structure with this stoichiometry (meV per atom) = 190.3
- DFT formation energy (kJ/mol of formula units) = -15
- total magnetic moment (μB per cell) = 0.00

---

Here is a geometry-optimized Be2NiOs structure from Alexandria via LeMat-Bulk. Energies are from PBE.

Unit cell a=5.5686 b=5.5686 c=5.5686 alpha=90.00 beta=90.00 gamma=90.00
With the nearest neighbours (Å) after each atom.
Space group F-43m (No. 216)
Unique sites:
Be (0.0000, 0.0000, 0.0000) (multiplicity 4)  4 Os 2.41, 4 Be 2.41
Be (0.2500, 0.2500, 0.2500) (multiplicity 4)  4 Ni 2.41, 4 Be 2.41
Ni (0.0000, 0.0000, 0.5000) (multiplicity 4)  4 Os 2.41, 4 Be 2.41
Os (0.2500, 0.2500, 0.7500) (multiplicity 4)  4 Be 2.41, 4 Ni 2.41

- DFT formation energy (kJ/mol of formula units) = 37
- total magnetic moment (μB per cell) = 4.45

---

Here is a geometry-optimized BeNiOs structure from Alexandria via LeMat-Bulk. Energies are from PBE.

Unit cell a=2.6207 b=2.6207 c=5.8553 alpha=90.00 beta=90.00 gamma=120.00
With the nearest neighbours (Å) after each atom.
Space group P3m1 (No. 156)
Unique sites:
Be (0.0000, 0.0000, 0.0000) (multiplicity 1)  3 Ni 2.33, 3 Os 2.49
Ni (0.3333, 0.6667, 0.3021) (multiplicity 1)  3 Be 2.33, 3 Os 2.60
Os (0.6667, 0.3333, 0.6622) (multiplicity 1)  3 Be 2.49, 3 Ni 2.60, 6 Os 2.62

- energy above the lowest structure with this stoichiometry (meV per atom) = 87.9
- DFT formation energy (kJ/mol of formula units) = 9
- total magnetic moment (μB per cell) = 0.00

---

Here is a geometry-optimized Be2NiOs structure from Alexandria via LeMat-Bulk. Energies are from PBE.

Unit cell a=2.6211 b=2.8074 c=5.5356 alpha=90.00 beta=90.00 gamma=90.00
With the nearest neighbours (Å) after each atom.
Space group Pmm2 (No. 25)
Unique sites:
Be (0.0000, 0.0000, 0.0000) (multiplicity 1)  4 Be 2.22, 1 Ni 2.32, 4 Os 2.40
Be (0.5000, 0.5000, 0.2014) (multiplicity 1)  4 Be 2.22, 4 Ni 2.27
Ni (0.0000, 0.0000, 0.4200) (multiplicity 1)  5 Be 2.27-2.32
Os (0.5000, 0.5000, 0.7398) (multiplicity 1)  5 Be 2.40-2.56, 4 Ni 2.61, 2 Os 2.62

- DFT formation energy (kJ/mol of formula units) = -46
- total magnetic moment (μB per cell) = 0.00

---

Here is a geometry-optimized BeNiOs structure from Alexandria via LeMat-Bulk. Energies are from PBE.

Unit cell a=10.8733 b=2.4987 c=5.3009 alpha=90.00 beta=102.35 gamma=90.00
With the nearest neighbours (Å) after each atom.
Space group C2/m (No. 12)
Unique sites:
Be (0.2263, 0.0000, 0.1715) (multiplicity 4)  3 Ni 2.15-2.20, 2 Be 2.35, 1 Os 2.38
Ni (0.0883, 0.5000, 0.9108) (multiplicity 4)  3 Be 2.15-2.20, 1 Ni 2.32
Os (0.1129, 0.5000, 0.4462) (multiplicity 4)  3 Be 2.38-2.44, 3 Os 2.50-2.64, 2 Ni 2.53-2.57

- energy above the lowest structure with this stoichiometry (meV per atom) = 335.3
- DFT formation energy (kJ/mol of formula units) = 81
- total magnetic moment (μB per cell) = 0.00

---

| no. | DOS at the Fermi energy (states/eV per cell) |
| --- | --- |
| 1 | 3.1 |
| 2 | 6.9 |
| 3 | 6.8 |
| 4 | 7.7 |
| 5 | 29.5 |
| 6 | 4.5 |
| 7 | 3.5 |
| 8 | 7.9 |
| 9 | 17.6 |
| 10 | 1.3 |
| 11 | 2.9 |
| 12 | 7.0 |